[1]
This record from the Alexandria database describes an optimized crystal structure of CaMg2Au. The functional is GGA-PBE.

Properties
Energy of formation from the pure elements in meV/atom: -343

POSCAR file:
```
CaMg2Au
1.0
3.4610 0.0004 0.0000
-0.0004 3.4610 0.0000
0.0000 0.0000 8.0286
Au Mg Ca
1 2 1
Cartesian
1.7303 1.7307 2.0072 Au
0.0000 0.0000 3.5159 Mg
0.0000 0.0000 0.4984 Mg
1.7303 1.7307 6.0215 Ca
```

---

[2]
This record from the Alexandria database describes an optimized crystal structure of YMgScRu. The functional is GGA-PBE.

Properties
Energy of formation from the pure elements in meV/atom: -223
Energy relative to the lowest polymorph listed for this composition in eV per atom: 0.108

POSCAR file:
```
YMgScRu
1.0
-3.5829 1.8439 2.7733
-4.6742 -0.6859 -1.2687
-2.8367 -2.9886 2.6363
Mg Sc Ru Y
1 1 1 1
Cartesian
-2.7735 -0.4576 1.0352 Mg
0.0000 0.0000 0.0000 Sc
-8.3204 -1.3729 3.1056 Ru
-5.5469 -0.9153 2.0704 Y
```

---

[3]
This record from the Alexandria database describes an optimized crystal structure of Ho3BiI7. The functional is GGA-PBE.

Properties
Formation energy (no corrections) in kcal/mol of atoms: -26.2

POSCAR file:
```
Ho3BiI7
1.0
-0.1434 2.6783 -7.0593
4.9078 -6.5779 -2.5954
-8.5763 -0.7269 -0.1016
I Ho Bi
7 3 1
Cartesian
-6.3123 -1.6480 -0.6863 I
0.1292 -0.8496 -4.8257 I
2.5533 -4.0987 -6.1077 I
-3.8802 -4.9077 -1.9724 I
-1.6828 -4.4577 -6.1579 I
0.4100 -4.5687 -1.9191 I
-2.0623 -1.2878 -0.6359 I
-2.0449 -1.5147 -6.8519 Ho
-4.3912 1.6301 -5.6111 Ho
-6.1450 -1.8622 -6.9005 Ho
-4.1540 -1.3249 -4.4972 Bi
```

---

[4]
This record from the Alexandria database describes an optimized crystal structure of ZrGeCl2F. The functional is GGA-PBE.

Properties
Formation energy (no corrections) in kcal/mol of atoms: -15.8

POSCAR file:
```
ZrGeCl2F
1.0
5.1828 0.0000 0.0000
0.0000 4.0382 0.0000
0.0000 0.0000 5.1828
Cl Ge F Zr
2 1 1 1
Cartesian
2.5914 0.0000 0.0000 Cl
0.0000 0.0000 2.5914 Cl
2.5914 2.0191 2.5914 Ge
0.0000 0.0000 0.0000 F
0.0000 2.0191 0.0000 Zr
```

---

Please write out number 3 again, unchanged.
This record from the Alexandria database describes an optimized crystal structure of Ho3BiI7. The functional is GGA-PBE.

Properties
Formation energy (no corrections) in kcal/mol of atoms: -26.2

POSCAR file:
```
Ho3BiI7
1.0
-0.1434 2.6783 -7.0593
4.9078 -6.5779 -2.5954
-8.5763 -0.7269 -0.1016
I Ho Bi
7 3 1
Cartesian
-6.3123 -1.6480 -0.6863 I
0.1292 -0.8496 -4.8257 I
2.5533 -4.0987 -6.1077 I
-3.8802 -4.9077 -1.9724 I
-1.6828 -4.4577 -6.1579 I
0.4100 -4.5687 -1.9191 I
-2.0623 -1.2878 -0.6359 I
-2.0449 -1.5147 -6.8519 Ho
-4.3912 1.6301 -5.6111 Ho
-6.1450 -1.8622 -6.9005 Ho
-4.1540 -1.3249 -4.4972 Bi
```